A plane-wave DFT calculation with GGA-PBE was carried out for a geometry-optimized Sm4Dy5Tl structure.

```
Sm4Dy5Tl
1.0
4.154 0.000 0.000
0.000 4.154 0.000
0.000 0.000 18.221
Sm Dy Tl
4 5 1
Cartesian
0.000 0.000 3.591
0.000 0.000 7.256
0.000 0.000 10.965
0.000 0.000 14.631
2.077 2.077 1.620
2.077 2.077 5.348
2.077 2.077 9.111
2.077 2.077 12.873
2.077 2.077 16.601
0.000 0.000 0.000
```

Calculated values
- Energy relative to the lowest polymorph listed for this composition: 0 meV per atom
- SG: No. 123
- Formation energy from the elements: 0.038 eV per atom
- Raw total energy: -43.9 eV per cell